Entry 1:
Compound: VTe2PtI
Source: Alexandria via LeMat-Bulk
Functional: GGA-PBE
Structure: optimized geometry

Properties
The total magnetization comes out at 0.020 μB per formula unit. The calculation puts the density of states at the Fermi level at 8.39 states/eV/f.u. Its energy is -3.688 eV/atom.

The structure in POSCAR format:
```
VTe2PtI
1.0
-2.4734 -2.4669 -4.0059
1.4329 -4.7058 2.0132
-4.5590 -0.1456 2.9046
I Te Pt V
1 2 1 1
Direct
0.0000 0.0000 0.5000 I
0.0000 0.5000 0.0000 Te
0.5000 0.0000 0.0000 Te
0.0000 0.0000 0.0000 Pt
0.5000 0.5000 0.5000 V
```


Entry 2:
Compound: PmI2Br8
Source: Alexandria via LeMat-Bulk
Functional: GGA-PBE
Structure: optimized geometry

Properties
The total magnetization comes out at 0.000 μB per formula unit. The calculation puts the density of states at the Fermi level at 9.74 states/eV/f.u. Its energy is -2.443 eV/atom.

The structure in POSCAR format:
```
PmI2Br8
1.0
7.2801 -0.2735 -0.2076
-0.2797 8.6051 1.7678
-0.2797 4.0196 7.8112
Pm I Br
1 2 8
Direct
0.0000 0.0000 0.0000 Pm
0.5469 0.7736 0.7736 I
0.4531 0.2264 0.2264 I
0.2258 0.3482 0.8158 Br
0.7742 0.1842 0.6518 Br
0.2142 0.8495 0.8495 Br
0.7858 0.1505 0.1505 Br
0.2258 0.8158 0.3482 Br
0.7742 0.6518 0.1842 Br
0.8114 0.6792 0.6792 Br
0.1886 0.3208 0.3208 Br
```


So what do the calculations give for formation energy without anion corrections? Going down the list: 911, -513 meV per atom.